(1)
Below is a geometry-optimized Ba2HoTmO5 structure, with properties calculated at the PBE level.

a b c (Å): 3.6681 7.3743 12.3567
angles (deg): 90.00 90.00 104.40
Element x y z (fractional)
Ba1 0.8483 0.6965 0.7956
Ba2 0.0895 0.1790 0.6731
Ba3 0.1517 0.3035 0.2956
Ba4 0.9105 0.8210 0.1731
Ho1 0.7769 0.5537 0.5234
Ho2 0.2231 0.4463 0.0234
Tm1 0.5316 0.0633 0.9513
Tm2 0.4684 0.9367 0.4513
O1 0.3783 0.7566 0.9988
O2 0.6902 0.3804 0.9145
O3 0.4920 0.9840 0.7861
O4 0.2706 0.5413 0.6471
O5 0.9394 0.8788 0.5341
O6 0.6217 0.2434 0.4988
O7 0.3098 0.6196 0.4145
O8 0.5080 0.0160 0.2861
O9 0.7294 0.4587 0.1471
O10 0.0606 0.1212 0.0341

Calculated values
Total energy (eV per formula unit): -65.43
Theoretical density (g cm⁻³): 7.06
Formation energy without anion corrections (meV per atom): -3083
Symmetry: Cmc2_1 (36)

***

(2)
Below is a geometry-optimized Be2Nb3Ru5 structure, with properties calculated at the PBE level.

a b c (Å): 3.1485 9.4245 9.4245
angles (deg): 90.00 90.00 90.00
Element x y z (fractional)
Be1 0.0000 0.1211 0.6211
Be2 0.0000 0.8789 0.3789
Be3 0.0000 0.3789 0.1211
Be4 0.0000 0.6211 0.8789
Nb1 0.0000 0.3260 0.8260
Nb2 0.0000 0.6740 0.1740
Nb3 0.0000 0.1740 0.3260
Nb4 0.0000 0.8260 0.6740
Nb5 0.0000 0.0000 0.0000
Nb6 0.0000 0.5000 0.5000
Ru1 0.5000 0.2111 0.0746
Ru2 0.5000 0.7889 0.9254
Ru3 0.5000 0.9254 0.2111
Ru4 0.5000 0.0746 0.7889
Ru5 0.5000 0.2889 0.5746
Ru6 0.5000 0.7111 0.4254
Ru7 0.5000 0.5746 0.7111
Ru8 0.5000 0.4254 0.2889
Ru9 0.5000 0.0000 0.5000
Ru10 0.5000 0.5000 0.0000

Calculated values
Total energy (eV per formula unit): -87.73
Theoretical density (g cm⁻³): 9.53
Symmetry: P4/mbm (127)
Formation energy (meV/atom): -369

***

(3)
Below is a geometry-optimized Pm12Nd5In2 structure, with properties calculated at the PBE level.

a b c (Å): 9.4107 9.1607 8.6685
angles (deg): 93.00 90.00 120.91
Element x y z (fractional)
Pm1 0.9223 0.8446 0.1151
Pm2 0.0403 0.7112 0.7633
Pm3 0.6709 0.7112 0.7633
Pm4 0.1802 0.7482 0.3277
Pm5 0.5679 0.7482 0.3277
Pm6 0.4449 0.8897 0.6742
Pm7 0.5551 0.1103 0.3258
Pm8 0.8198 0.2518 0.6723
Pm9 0.4321 0.2518 0.6723
Pm10 0.9597 0.2888 0.2367
Pm11 0.3291 0.2888 0.2367
Pm12 0.0777 0.1554 0.8849
Nd1 0.2324 0.4648 0.5788
Nd2 0.3075 0.6149 0.9851
Nd3 0.0000 0.0000 0.5000
Nd4 0.6925 0.3851 0.0149
Nd5 0.7676 0.5352 0.4212
In1 0.6753 0.0000 0.0000
In2 0.3247 0.0000 0.0000

Calculated values
Total energy (eV per formula unit): -86.75
Theoretical density (g cm⁻³): 6.98
Symmetry: C2/m (12)
Formation energy (meV/atom): -22

***

(4)
Below is a geometry-optimized MnAlPt structure, with properties calculated at the PBE level.

a b c (Å): 4.2867 4.2867 2.8479
angles (deg): 90.00 90.00 120.00
Each line ends with the local moment (μB).
Element x y z (fractional)
Mn1 0.3333 0.6667 0.3333  3.59
Al1 0.0000 0.0000 0.8343  -0.05
Pt1 0.6667 0.3333 0.8324  0.15

Calculated values
Total energy (eV per formula unit): -20.49
Theoretical density (g cm⁻³): 10.15
Symmetry: P-6m2 (187)
Formation energy (meV/atom): -512

***

(5)
Below is a geometry-optimized CsRb2Sr structure, with properties calculated at the PBE level.

a b c (Å): 4.7809 4.7809 16.7367
angles (deg): 81.97 81.97 59.95
Element x y z (fractional)
Cs1 0.6667 0.6667 0.9999
Rb1 0.0904 0.0904 0.7301
Rb2 0.2432 0.2432 0.2700
Sr1 0.4996 0.4996 0.5001

Calculated values
Total energy (eV per formula unit): -4.06
Theoretical density (g cm⁻³): 1.99
Symmetry: Cm (8)
Formation energy (meV/atom): 104

***

(6)
Below is a geometry-optimized RbAsSe2F structure, with properties calculated at the PBE level.

a b c (Å): 6.6926 6.6926 7.0169
angles (deg): 90.00 90.00 90.00
Each line ends with the local moment (μB).
Element x y z (fractional)
As1 0.0000 0.0000 0.5000  -1.23
Se1 0.0000 0.5000 0.0000  0.97
Se2 0.5000 0.0000 0.0000  0.97
Rb1 0.0000 0.0000 0.0000  -0.03
F1 0.5000 0.5000 0.5000  0.39

Calculated values
Total energy (eV per formula unit): -9.78
Theoretical density (g cm⁻³): 1.78
Formation energy without anion corrections (meV per atom): 936
Symmetry: P4/mmm (123)

***

(7)
Below is a geometry-optimized Sr2Al4GaPd3 structure, with properties calculated at the PBE level.

a b c (Å): 4.3569 4.3569 10.8474
angles (deg): 90.00 90.00 90.00
Element x y z (fractional)
Sr1 0.5000 0.0000 0.2506
Sr2 0.0000 0.5000 0.7494
Al1 0.5000 0.5000 0.0000
Al2 0.0000 0.0000 0.0000
Al3 0.5000 0.0000 0.6338
Al4 0.0000 0.5000 0.3662
Ga1 0.5000 0.5000 0.5000
Pd1 0.0000 0.0000 0.5000
Pd2 0.5000 0.0000 0.8738
Pd3 0.0000 0.5000 0.1262

Calculated values
Total energy (eV per formula unit): -43.47
Theoretical density (g cm⁻³): 5.42
Symmetry: P-4m2 (115)
Formation energy (meV/atom): -653

***

(8)
Below is a geometry-optimized Be2TcIr structure, with properties calculated at the PBE level.

a b c (Å): 2.7844 2.7844 5.7930
angles (deg): 90.00 90.00 90.00
Element x y z (fractional)
Be1 0.0000 0.0000 0.0391
Be2 0.5000 0.5000 0.2208
Ir1 0.0000 0.0000 0.4630
Tc1 0.5000 0.5000 0.7772

Calculated values
Total energy (eV per formula unit): -28.05
Theoretical density (g cm⁻³): 11.40
Symmetry: P4mm (99)
Formation energy (meV/atom): -342

***

Question: Which of these has the lowest total energy?
Answer: Be2Nb3Ru5

***

Question: total energy of number 2 (Be2Nb3Ru5)?
Answer: -87.73 eV per formula unit